An optimized crystal structure of Nb2ZnAs2, computed with PBE.

Properties
Theoretical density   7.6 g/cm3
Energy of formation from the pure elements   -0.362 eV/atom
M_tot   0.000 Bohr magnetons per cell
V   17.6 Å³/atom
Space group   No. 127

Unit cell a=7.198 b=7.198 c=3.393 alpha=90.00 beta=90.00 gamma=90.00
Sites, in units of the cell vectors:
Nb: 0.146 0.354 0.000
Nb: 0.354 0.854 0.000
Nb: 0.646 0.146 0.000
Nb: 0.854 0.646 0.000
Zn: 0.000 0.000 0.000
Zn: 0.500 0.500 0.000
As: 0.148 0.648 0.500
As: 0.352 0.148 0.500
As: 0.648 0.852 0.500
As: 0.852 0.352 0.500